Entry 1:
{
  "formula": "BaCd9Bi2",
  "functional": "GGA-PBE",
  "state": "optimized geometry",
  "sg": "No. 166",
  "formation_enthalpy_0k_ev_per_atom": -0.109,
  "magmom_total_mub_per_fu": 0.0,
  "lattice": [[5.955, 0.000, 1.772], [2.714, 5.301, 1.772], [0.221, 0.135, 10.147]],
  "species": ["Ba", "Cd", "Cd", "Cd", "Cd", "Cd", "Cd", "Cd", "Cd", "Cd", "Bi", "Bi"],
  "frac_coords": [[0.000, 0.000, 0.000], [0.667, 0.667, 0.000], [0.333, 0.333, 0.000], [0.500, 0.500, 0.500], [0.411, 0.411, 0.257], [0.920, 0.411, 0.257], [0.411, 0.920, 0.257], [0.589, 0.589, 0.743], [0.589, 0.080, 0.743], [0.080, 0.589, 0.743], [0.867, 0.867, 0.400], [0.133, 0.133, 0.600]]
}



Entry 2:
{
  "formula": "Ba2CdBi",
  "functional": "GGA-PBE",
  "state": "optimized geometry",
  "sg": "No. 11",
  "formation_enthalpy_0k_ev_per_atom": -0.622,
  "magmom_total_mub_per_fu": 0.5,
  "lattice": [[5.052, 0.000, 0.000], [0.000, 7.034, -0.095], [0.000, -3.631, 9.535]],
  "species": ["Ba", "Ba", "Ba", "Ba", "Cd", "Cd", "Bi", "Bi"],
  "frac_coords": [[0.750, 0.228, 0.434], [0.250, 0.772, 0.566], [0.250, 0.775, 0.070], [0.750, 0.225, 0.930], [0.750, 0.660, 0.288], [0.250, 0.340, 0.712], [0.250, 0.343, 0.211], [0.750, 0.657, 0.789]]
}



Entry 3:
{
  "formula": "Ba2CdBi3",
  "functional": "GGA-PBE",
  "state": "optimized geometry",
  "sg": "No. 62",
  "formation_enthalpy_0k_ev_per_atom": -0.622,
  "magmom_total_mub_per_fu": 0.0,
  "lattice": [[-1.379, 4.815, -1.197], [-4.923, 0.285, 6.818], [16.018, 7.384, 11.259]],
  "species": ["Ba", "Ba", "Ba", "Ba", "Ba", "Ba", "Ba", "Ba", "Cd", "Cd", "Cd", "Cd", "Bi", "Bi", "Bi", "Bi", "Bi", "Bi", "Bi", "Bi", "Bi", "Bi", "Bi", "Bi"],
  "frac_coords": [[0.250, 0.658, 0.580], [0.750, 0.842, 0.080], [0.250, 0.158, 0.920], [0.750, 0.342, 0.420], [0.250, 0.642, 0.793], [0.750, 0.858, 0.293], [0.250, 0.142, 0.707], [0.750, 0.358, 0.207], [0.250, 0.947, 0.434], [0.750, 0.553, 0.934], [0.250, 0.447, 0.066], [0.750, 0.053, 0.566], [0.250, 0.730, 0.967], [0.750, 0.770, 0.467], [0.250, 0.230, 0.533], [0.750, 0.270, 0.033], [0.250, 0.069, 0.173], [0.750, 0.431, 0.673], [0.250, 0.569, 0.327], [0.750, 0.931, 0.827], [0.250, 0.661, 0.185], [0.750, 0.839, 0.685], [0.250, 0.161, 0.315], [0.750, 0.339, 0.815]]
}



Entry 4:
{
  "formula": "BaCd3Bi3",
  "functional": "GGA-PBE",
  "state": "optimized geometry",
  "sg": "No. 148",
  "formation_enthalpy_0k_ev_per_atom": -0.237,
  "magmom_total_mub_per_fu": 0.0,
  "lattice": [[8.321, 0.000, 0.000], [4.160, 7.206, 0.000], [4.160, 2.402, 8.302]],
  "species": ["Ba", "Ba", "Cd", "Cd", "Cd", "Cd", "Cd", "Cd", "Bi", "Bi", "Bi", "Bi", "Bi", "Bi"],
  "frac_coords": [[0.333, 0.333, 0.002], [0.667, 0.667, 0.998], [0.499, 0.763, 0.616], [0.763, 0.122, 0.616], [0.122, 0.499, 0.616], [0.878, 0.501, 0.384], [0.237, 0.878, 0.384], [0.501, 0.237, 0.384], [0.218, 0.620, 0.247], [0.915, 0.218, 0.247], [0.620, 0.915, 0.247], [0.380, 0.085, 0.753], [0.085, 0.782, 0.753], [0.782, 0.380, 0.753]]
}



Entry 5:
{
  "formula": "Ba2CdBi2",
  "functional": "GGA-PBE",
  "state": "optimized geometry",
  "sg": "No. 12",
  "formation_enthalpy_0k_ev_per_atom": -0.719,
  "magmom_total_mub_per_fu": 0.0,
  "lattice": [[4.998, 0.000, 0.000], [2.499, 6.763, -0.288], [2.499, 0.539, 11.434]],
  "species": ["Ba", "Ba", "Ba", "Ba", "Cd", "Cd", "Bi", "Bi", "Bi", "Bi"],
  "frac_coords": [[0.656, 0.350, 0.339], [0.939, 0.225, 0.896], [0.344, 0.650, 0.661], [0.061, 0.775, 0.104], [0.663, 0.026, 0.648], [0.337, 0.974, 0.352], [0.087, 0.247, 0.579], [0.675, 0.778, 0.872], [0.913, 0.753, 0.421], [0.325, 0.222, 0.128]]
}



Entry 6:
{
  "formula": "BaCd3Bi3",
  "functional": "GGA-PBE",
  "state": "optimized geometry",
  "sg": "No. 225",
  "formation_enthalpy_0k_ev_per_atom": 0.357,
  "magmom_total_mub_per_fu": 0.0,
  "lattice": [[8.777, 0.000, 5.067], [2.926, 8.275, 5.067], [0.000, 0.000, 10.135]],
  "species": ["Ba", "Ba", "Cd", "Cd", "Cd", "Cd", "Cd", "Cd", "Bi", "Bi", "Bi", "Bi", "Bi", "Bi"],
  "frac_coords": [[0.250, 0.250, 0.250], [0.750, 0.750, 0.750], [0.144, 0.856, 0.856], [0.144, 0.856, 0.144], [0.144, 0.144, 0.856], [0.856, 0.144, 0.856], [0.856, 0.144, 0.144], [0.856, 0.856, 0.144], [0.338, 0.662, 0.338], [0.338, 0.662, 0.662], [0.338, 0.338, 0.662], [0.662, 0.338, 0.662], [0.662, 0.338, 0.338], [0.662, 0.662, 0.338]]
}